Crystalline CsGaCu2W at its relaxed geometry, computed with PBE.

abc: 5.150 5.569 5.150
angles: 90.00 90.00 90.00
Fractional coordinates of all 5 atoms:
Cs: 0.000 0.000 0.000
Cu: 0.000 0.000 0.500
Cu: 0.500 0.000 0.000
Ga: 0.500 0.500 0.500
W: 0.000 0.500 0.000

Values from the calculation:
The value obtained for the energy of formation from the pure elements is 13.39 eV/f.u. The density of states at the Fermi level comes out at 1.09 states/eV per atom. As for the symmetry: No. 123.

---

Crystalline CsGd2Cu3Se5 at its relaxed geometry, computed with PBE.

abc: 7.664 7.664 17.640
angles: 90.00 90.00 148.40
Fractional coordinates of all 22 atoms:
Cs: 0.561 0.439 0.250
Cs: 0.439 0.561 0.750
Gd: 0.692 0.308 0.909
Gd: 0.308 0.692 0.091
Gd: 0.692 0.308 0.591
Gd: 0.308 0.692 0.409
Se: 0.940 0.060 0.389
Se: 0.060 0.940 0.611
Se: 0.940 0.060 0.111
Se: 0.060 0.940 0.889
Se: 0.264 0.736 0.250
Se: 0.736 0.264 0.750
Se: 0.666 0.334 0.430
Se: 0.334 0.666 0.570
Se: 0.666 0.334 0.070
Se: 0.334 0.666 0.930
Cu: 0.841 0.159 0.250
Cu: 0.159 0.841 0.750
Cu: 0.916 0.084 0.970
Cu: 0.084 0.916 0.030
Cu: 0.916 0.084 0.530
Cu: 0.084 0.916 0.470

Values from the calculation:
For the uncorrected formation energy, the calculation gives -1.1339 eV/atom. As for the symmetry: No. 63.

---

Crystalline CsCu3Ge at its relaxed geometry, computed with PBE.

abc: 4.850 4.850 4.850
angles: 90.00 90.00 90.00
Fractional coordinates of all 5 atoms:
Cs: 0.500 0.500 0.500
Ge: 0.000 0.000 0.000
Cu: 0.000 0.500 0.000
Cu: 0.000 0.000 0.500
Cu: 0.500 0.000 0.000

Values from the calculation:
The value obtained for the energy of formation from the pure elements is 1.55 eV/f.u. The density of states at the Fermi level comes out at 0.00 states/eV per atom. As for the symmetry: No. 221. The energy relative to the lowest polymorph listed for this composition is 0.000 eV per atom.

---

Crystalline CsCuGe at its relaxed geometry, computed with PBE.

abc: 6.098 4.175 4.175
angles: 120.00 90.00 90.00
Fractional coordinates of all 3 atoms:
Cs: 0.666 0.667 0.333
Ge: 0.167 0.000 0.000
Cu: 0.167 0.333 0.667

Values from the calculation:
The value obtained for the energy of formation from the pure elements is 0.47 eV/f.u. The density of states at the Fermi level comes out at 0.66 states/eV per atom. As for the symmetry: No. 187. The energy relative to the lowest polymorph listed for this composition is 0.164 eV per atom.

---

no.,raw total energy (eV per atom)
1,-2.33
2,-6.47
3,-3.24
4,-3.03